Compound: SrPdPt4
Source: Alexandria
Functional: GGA-PBE
Structure: optimized geometry

Results
Calculated formation energy in eV/atom: -0.405

abc: 5.3999 5.3999 5.3999
angles: 60.00 60.00 60.00
With the nearest neighbours (Å) after each atom.
Fractional positions:
Sr: 0.0000 0.0000 0.0000  12 Pt 3.17, 4 Pd 3.31
Pd: 0.2500 0.2500 0.2500  12 Pt 3.16, 4 Sr 3.31
Pt: 0.1263 0.6246 0.6246  6 Pt 2.69-2.71
Pt: 0.6246 0.1263 0.6246  6 Pt 2.69-2.71
Pt: 0.6246 0.6246 0.1263  6 Pt 2.69-2.71
Pt: 0.6246 0.6246 0.6246  6 Pt 2.69-2.71